A plane-wave DFT calculation with GGA-PBE was carried out for crystalline SrU2S4 at its relaxed geometry.

Values from the calculation:
The calculation puts the energy relative to the elements, uncorrected at -152 kJ per mole of atoms. Its calculated total energy is -7.4019 eV/atom. The value obtained for the spin magnetization is 21.92 Bohr magnetons per cell. The density is 6.7 g/cm³.

Cell: 3.9321 13.0406 13.4328 Å, 90.00 90.00 90.00°
With the nearest neighbours (Å) after each atom.
Space group Cmcm (No. 63)
Symmetry-distinct sites (fractional):
Sr: 0.0000 0.1101 0.2500 [4 per cell]  6 S 2.94-3.08
U: 0.0000 0.3669 0.0631 [8 per cell]  6 S 2.70-2.76
S: 0.0000 0.0000 0.0000 [4 per cell]  4 U 2.76
S: 0.0000 0.2700 0.6178 [8 per cell]  3 U 2.74-2.76
S: 0.0000 0.4420 0.2500 [4 per cell]  2 U 2.70, 2 Sr 2.94


A plane-wave DFT calculation with GGA-PBE was carried out for crystalline FePt2Cl at its relaxed geometry.

Values from the calculation:
The calculation puts the energy relative to the elements, uncorrected at 7 kJ per mole of atoms. Its calculated total energy is -5.5212 eV/atom. The value obtained for the spin magnetization is 7.09 Bohr magnetons per cell. The density is 10.2 g/cm³.

Cell: 8.7321 2.8656 6.3489 Å, 90.00 97.83 90.00°
With the nearest neighbours (Å) after each atom.
Space group Cm (No. 8)
Symmetry-distinct sites (fractional):
Fe: 0.0000 0.0000 0.0000 [2 per cell]  2 Cl 2.35, 4 Pt 2.58-2.63
Pt: 0.2338 0.5000 0.1558 [2 per cell]  3 Fe 2.58-2.65, 5 Pt 2.65-2.87
Pt: 0.4796 0.0000 0.3421 [2 per cell]  1 Cl 2.49, 2 Fe 2.63, 3 Pt 2.65-2.71
Cl: 0.4172 0.0000 0.7135 [2 per cell]  2 Fe 2.35, 1 Pt 2.49


A plane-wave DFT calculation with GGA-PBE was carried out for crystalline Tb3ErAs4 at its relaxed geometry.

Values from the calculation:
Its calculated total energy is -6.1671 eV/atom. The value obtained for the spin magnetization is 0.00 Bohr magnetons per cell. The density is 7.9 g/cm³.

Cell: 8.2485 11.6648 4.1268 Å, 90.00 90.00 90.00°
With the nearest neighbours (Å) after each atom.
Space group Cmmm (No. 65)
Symmetry-distinct sites (fractional):
Tb: 0.0000 0.0000 0.0000 [2 per cell]  6 As 2.93
Tb: 0.2500 0.2500 0.5000 [4 per cell]  6 As 2.92
Er: 0.0000 0.5000 0.0000 [2 per cell]  6 As 2.90
As: 0.0000 0.2512 0.0000 [4 per cell]  1 Er 2.90, 5 Tb 2.92-2.93
As: 0.2477 0.5000 0.5000 [4 per cell]  2 Er 2.90, 4 Tb 2.92-2.93


A plane-wave DFT calculation with GGA-PBE was carried out for crystalline NpIn2Cl5 at its relaxed geometry.

Values from the calculation:
The calculation puts the energy relative to the elements, uncorrected at -124 kJ per mole of atoms. Its calculated total energy is -4.7443 eV/atom. The value obtained for the spin magnetization is 16.00 Bohr magnetons per cell. The density is 4.5 g/cm³.

Cell: 13.0882 8.7426 8.2555 Å, 90.00 90.00 90.00°
With the nearest neighbours (Å) after each atom.
Space group Pnma (No. 62)
Symmetry-distinct sites (fractional):
Np: 0.0024 0.2500 0.0662 [4 per cell]  7 Cl 2.76-2.86
In: 0.1697 0.0033 0.5489 [8 per cell]  8 Cl 3.21-3.54
Cl: 0.0057 0.2500 0.4123 [4 per cell]  1 Np 2.86
Cl: 0.0750 0.5414 0.1631 [8 per cell]  2 Np 2.82-2.83
Cl: 0.1812 0.2500 0.8884 [4 per cell]  1 Np 2.76
Cl: 0.2012 0.7500 0.8421 [4 per cell]  1 Np 2.77


A plane-wave DFT calculation with GGA-PBE was carried out for crystalline Ac2GaO5 at its relaxed geometry.

Values from the calculation:
The calculation puts the energy relative to the elements, uncorrected at -243 kJ per mole of atoms. Its calculated total energy is -7.0188 eV/atom. The value obtained for the spin magnetization is 1.06 Bohr magnetons per cell. The density is 6.8 g/cm³.

Cell: 5.1468 5.9597 5.9709 Å, 65.41 67.12 66.50°
With the nearest neighbours (Å) after each atom.
Space group P1 (No. 1)
Symmetry-distinct sites (fractional):
Ac: 0.0000 0.0000 0.0000 [1 per cell]  6 O 2.42-2.67
Ac: 0.4747 0.5720 0.4863 [1 per cell]  5 O 2.44-2.57
Ga: 0.2530 0.2711 0.2734 [1 per cell]  4 O 1.86-1.92
O: 0.0095 0.5793 0.3631 [1 per cell]  1 Ga 1.92
O: 0.1547 0.9970 0.5541 [1 per cell]  1 Ga 1.86
O: 0.2463 0.3284 0.9396 [1 per cell]  1 Ga 1.89
O: 0.5118 0.8991 0.0598 [1 per cell]  1 O 2.32, 2 Ac 2.47-2.59
O: 0.6233 0.2816 0.2399 [1 per cell]  1 Ga 1.86


A plane-wave DFT calculation with GGA-PBE was carried out for crystalline KAcMgF6 at its relaxed geometry.

Values from the calculation:
The calculation puts the energy relative to the elements, uncorrected at -349 kJ per mole of atoms. Its calculated total energy is -5.6248 eV/atom. The value obtained for the spin magnetization is 0.00 Bohr magnetons per cell. The density is 4.3 g/cm³.

Cell: 7.5182 8.2764 10.1402 Å, 90.00 90.00 90.00°
With the nearest neighbours (Å) after each atom.
Space group Imma (No. 74)
Symmetry-distinct sites (fractional):
K: 0.0000 0.2500 0.0657 [4 per cell]  5 F 2.84-3.06
Ac: 0.0000 0.0000 0.5000 [4 per cell]  8 F 2.47-2.72
Mg: 0.2500 0.2500 0.7500 [4 per cell]  6 F 1.99-2.03
F: 0.0000 0.2500 0.3677 [4 per cell]  2 Ac 2.47
F: 0.0000 0.2500 0.6748 [4 per cell]  2 Mg 2.03
F: 0.2187 0.0782 0.8851 [16 per cell]  1 Mg 1.99


A plane-wave DFT calculation with GGA-PBE was carried out for crystalline Pa4RuN7 at its relaxed geometry.

Values from the calculation:
The calculation puts the energy relative to the elements, uncorrected at -143 kJ per mole of atoms. Its calculated total energy is -10.2753 eV/atom. The value obtained for the spin magnetization is 0.00 Bohr magnetons per cell. The density is 11.4 g/cm³.

Cell: 12.8110 3.8604 9.0825 Å, 90.00 133.13 90.00°
With the nearest neighbours (Å) after each atom.
Space group C2/m (No. 12)
Symmetry-distinct sites (fractional):
Pa: 0.0784 0.0000 0.3745 [4 per cell]  5 N 2.27-2.41
Pa: 0.2491 0.5000 0.8335 [4 per cell]  5 N 2.26-2.44
Ru: 0.0000 0.5000 0.0000 [2 per cell]  4 N 1.93-2.13
N: 0.0000 0.0000 0.0000 [2 per cell]  2 Ru 1.93
N: 0.1021 0.5000 0.8892 [4 per cell]  1 Ru 2.13, 1 Pa 2.26
N: 0.1283 0.0000 0.6774 [4 per cell]  4 Pa 2.27-2.36
N: 0.1966 0.5000 0.5389 [4 per cell]  4 Pa 2.27-2.41


A plane-wave DFT calculation with GGA-PBE was carried out for crystalline HfHgGe2Bi at its relaxed geometry.

Values from the calculation:
Its calculated total energy is -3.5021 eV/atom. The value obtained for the spin magnetization is 0.00 Bohr magnetons per cell. The density is 7.3 g/cm³.

Cell: 5.4833 5.4833 5.5507 Å, 90.00 90.00 90.00°
With the nearest neighbours (Å) after each atom.
Space group P4/mmm (No. 123)
Symmetry-distinct sites (fractional):
Hf: 0.0000 0.0000 0.0000 [1 per cell]  2 Bi 2.78
Hg: 0.5000 0.5000 0.0000 [1 per cell]  4 Hf 3.88, 8 Ge 3.90
Ge: 0.0000 0.5000 0.5000 [2 per cell]  2 Bi 2.74
Bi: 0.0000 0.0000 0.5000 [1 per cell]  4 Ge 2.74, 2 Hf 2.78


A plane-wave DFT calculation with GGA-PBE was carried out for crystalline TiGaAs2C at its relaxed geometry.

Values from the calculation:
Its calculated total energy is -4.7610 eV/atom. The value obtained for the spin magnetization is 0.00 Bohr magnetons per cell. The density is 5.0 g/cm³.

Cell: 5.0357 5.0357 3.6403 Å, 90.00 90.00 90.00°
With the nearest neighbours (Å) after each atom.
Space group P4/mmm (No. 123)
Symmetry-distinct sites (fractional):
Ti: 0.0000 0.0000 0.0000 [1 per cell]  8 As 3.11
Ga: 0.5000 0.5000 0.5000 [1 per cell]  2 C 1.82
As: 0.0000 0.5000 0.5000 [2 per cell]  2 Ga 2.52
C: 0.5000 0.5000 0.0000 [1 per cell]  2 Ga 1.82


A plane-wave DFT calculation with GGA-PBE was carried out for crystalline Pm2VGe at its relaxed geometry.

Values from the calculation:
Its calculated total energy is -5.9267 eV/atom. The value obtained for the spin magnetization is 3.01 Bohr magnetons per cell. The density is 7.1 g/cm³.

Cell: 4.8978 4.8978 4.0157 Å, 90.00 90.00 90.00°
With the nearest neighbours (Å) after each atom.
Space group P4/mmm (No. 123)
Symmetry-distinct sites (fractional):
Pm: 0.0000 0.5000 0.0000 [2 per cell]  4 Ge 3.17, 4 V 3.17, 4 Pm 3.46
V: 0.0000 0.0000 0.5000 [1 per cell]  8 Pm 3.17, 4 Ge 3.46
Ge: 0.5000 0.5000 0.5000 [1 per cell]  8 Pm 3.17, 4 V 3.46


A plane-wave DFT calculation with GGA-PBE was carried out for crystalline K2NdSbS4 at its relaxed geometry.

Values from the calculation:
The calculation puts the energy relative to the elements, uncorrected at -121 kJ per mole of atoms. Its calculated total energy is -4.6993 eV/atom. The value obtained for the spin magnetization is 0.00 Bohr magnetons per cell. The density is 3.6 g/cm³.

Cell: 8.4446 8.5402 12.0115 Å, 90.00 90.00 90.00°
With the nearest neighbours (Å) after each atom.
Space group Imma (No. 74)
Symmetry-distinct sites (fractional):
K: 0.0000 0.0000 0.0000 [4 per cell]  6 S 3.16
K: 0.2500 0.2500 0.2500 [4 per cell]  6 S 3.19-3.21
Nd: 0.0000 0.0000 0.5000 [4 per cell]  6 S 2.87
Sb: 0.2500 0.2500 0.7500 [4 per cell]  6 S 2.81-2.83
S: 0.0000 0.0297 0.7380 [8 per cell]  2 Sb 2.83, 1 Nd 2.87, 1 K 3.16
S: 0.2256 0.2500 0.5164 [8 per cell]  1 Sb 2.81, 2 Nd 2.87


A plane-wave DFT calculation with GGA-PBE was carried out for crystalline LaSm2Ga2 at its relaxed geometry.

Values from the calculation:
Its calculated total energy is -4.4541 eV/atom. The value obtained for the spin magnetization is 0.00 Bohr magnetons per cell. The density is 6.7 g/cm³.

Cell: 12.7789 3.8411 5.9984 Å, 90.00 102.36 90.00°
With the nearest neighbours (Å) after each atom.
Space group C2/m (No. 12)
Symmetry-distinct sites (fractional):
La: 0.0000 0.0000 0.0000 [2 per cell]  4 Ga 3.24
Sm: 0.1376 0.5000 0.5668 [4 per cell]  4 Ga 3.07-3.18, 1 Sm 3.44
Ga: 0.2087 0.5000 0.1088 [4 per cell]  2 Ga 2.66